1.
Here is a relaxed MgSiO3 crystal from the Alexandria database. Energies are from PBE.

CIF file:
```
data_MgSiO3
_chemical_formula_sum 'Mg1 Si1 O3'
_cell_length_a 3.7820
_cell_length_b 3.7820
_cell_length_c 3.7820
_cell_angle_alpha 90.00
_cell_angle_beta 90.00
_cell_angle_gamma 90.00
_space_group_name_H-M_alt 'P 1'
_space_group_IT_number 1
_space_group_name_Hall 'P 1'
loop_
_atom_site_label
_atom_site_fract_x
_atom_site_fract_y
_atom_site_fract_z
Si1 0.5000 0.5000 0.5000
Mg1 0.0000 0.0000 0.0000
O1 0.0000 0.5000 0.0000
O2 0.0000 0.0000 0.5000
O3 0.5000 0.0000 0.0000
```

calculated volume: 10.8 Å³/atom
ΔE_f (raw): -448 meV per atom



2.
Here is a relaxed NaSiTe crystal from the Alexandria database. Energies are from PBE.

CIF file:
```
data_NaSiTe
_chemical_formula_sum 'Na4 Si4 Te4'
_cell_length_a 5.9373
_cell_length_b 5.9373
_cell_length_c 10.2594
_cell_angle_alpha 107.58
_cell_angle_beta 107.58
_cell_angle_gamma 87.48
_space_group_name_H-M_alt 'P 1'
_space_group_IT_number 1
_space_group_name_Hall 'P 1'
loop_
_atom_site_label
_atom_site_fract_x
_atom_site_fract_y
_atom_site_fract_z
Na1 0.6119 0.6119 0.2237
Na2 0.3881 0.3881 0.7763
Na3 0.6381 0.1381 0.2763
Na4 0.8619 0.3619 0.7237
Te1 0.0269 0.5269 0.5000
Te2 0.7769 0.7769 0.0000
Te3 0.4731 0.9731 0.5000
Te4 0.2231 0.2231 0.0000
Si1 0.1250 0.3750 0.2500
Si2 0.1250 0.8750 0.7500
Si3 0.1250 0.8750 0.2500
Si4 0.6250 0.8750 0.7500
```

calculated volume: 27.4 Å³/atom
ΔE_f (raw): 130 meV per atom



3.
Here is a relaxed ThSiC2 crystal from the Alexandria database. Energies are from PBE.

CIF file:
```
data_ThSiC2
_chemical_formula_sum 'Th1 Si1 C2'
_cell_length_a 3.9865
_cell_length_b 3.9865
_cell_length_c 6.1346
_cell_angle_alpha 71.04
_cell_angle_beta 71.04
_cell_angle_gamma 60.00
_space_group_name_H-M_alt 'P 1'
_space_group_IT_number 1
_space_group_name_Hall 'P 1'
loop_
_atom_site_label
_atom_site_fract_x
_atom_site_fract_y
_atom_site_fract_z
Si1 0.0000 0.0000 0.0000
C1 0.1006 0.1006 0.6981
C2 0.8994 0.8994 0.3019
Th1 0.5000 0.5000 0.5000
```

calculated volume: 19.6 Å³/atom
ΔE_f (raw): 280 meV per atom



4.
Here is a relaxed YVOs3 crystal from the Alexandria database. Energies are from PBE.

CIF file:
```
data_YVOs3
_chemical_formula_sum 'Y1 V1 Os3'
_cell_length_a 4.5499
_cell_length_b 4.5499
_cell_length_c 4.5499
_cell_angle_alpha 90.00
_cell_angle_beta 90.00
_cell_angle_gamma 90.00
_space_group_name_H-M_alt 'P 1'
_space_group_IT_number 1
_space_group_name_Hall 'P 1'
loop_
_atom_site_label
_atom_site_fract_x
_atom_site_fract_y
_atom_site_fract_z
Y1 0.5000 0.5000 0.5000
Os1 0.0000 0.5000 0.0000
Os2 0.0000 0.0000 0.5000
Os3 0.5000 0.0000 0.0000
V1 0.0000 0.0000 0.0000
```

calculated volume: 18.8 Å³/atom
ΔH_f (0 K): 0.747 eV per atom



5.
Here is a relaxed Ba2TaTl crystal from the Alexandria database. Energies are from PBE.

CIF file:
```
data_Ba2TaTl
_chemical_formula_sum 'Ba2 Ta1 Tl1'
_cell_length_a 7.2188
_cell_length_b 7.2188
_cell_length_c 7.2188
_cell_angle_alpha 150.57
_cell_angle_beta 130.51
_cell_angle_gamma 58.63
_space_group_name_H-M_alt 'P 1'
_space_group_IT_number 1
_space_group_name_Hall 'P 1'
loop_
_atom_site_label
_atom_site_fract_x
_atom_site_fract_y
_atom_site_fract_z
Tl1 0.2892 0.7892 0.5000
Ba1 0.0262 0.0262 0.0000
Ba2 0.7174 0.2174 0.5000
Ta1 0.4671 0.4671 0.0000
```

calculated volume: 34.9 Å³/atom
ΔH_f (0 K): 0.594 eV per atom



6.
Here is a relaxed AlPdPtRh crystal from the Alexandria database. Energies are from PBE.

CIF file:
```
data_AlPdPtRh
_chemical_formula_sum 'Al1 Pd1 Pt1 Rh1'
_cell_length_a 4.3763
_cell_length_b 4.3763
_cell_length_c 4.3763
_cell_angle_alpha 60.00
_cell_angle_beta 60.00
_cell_angle_gamma 60.00
_space_group_name_H-M_alt 'P 1'
_space_group_IT_number 1
_space_group_name_Hall 'P 1'
loop_
_atom_site_label
_atom_site_fract_x
_atom_site_fract_y
_atom_site_fract_z
Rh1 0.2500 0.2500 0.2500
Pd1 0.0000 0.0000 0.0000
Pt1 0.7500 0.7500 0.7500
Al1 0.5000 0.5000 0.5000
```

calculated volume: 14.8 Å³/atom
ΔH_f (0 K): -0.481 eV per atom



7.
Here is a relaxed Ce2HoO crystal from the Alexandria database. Energies are from PBE.

CIF file:
```
data_Ce2HoO
_chemical_formula_sum 'Ce2 Ho1 O1'
_cell_length_a 3.4403
_cell_length_b 3.4403
_cell_length_c 9.5155
_cell_angle_alpha 79.59
_cell_angle_beta 79.59
_cell_angle_gamma 60.00
_space_group_name_H-M_alt 'P 1'
_space_group_IT_number 1
_space_group_name_Hall 'P 1'
loop_
_atom_site_label
_atom_site_fract_x
_atom_site_fract_y
_atom_site_fract_z
O1 0.5000 0.5000 0.5000
Ho1 0.0000 0.0000 0.0000
Ce1 0.1145 0.1145 0.6564
Ce2 0.8855 0.8855 0.3436
```

calculated volume: 23.8 Å³/atom
ΔE_f (raw): -1115 meV per atom



8.
Here is a relaxed Rb2YScF6 crystal from the Alexandria database. Energies are from PBE.

CIF file:
```
data_Rb2YScF6
_chemical_formula_sum 'Rb2 Y1 Sc1 F6'
_cell_length_a 6.3722
_cell_length_b 6.3722
_cell_length_c 6.3644
_cell_angle_alpha 59.96
_cell_angle_beta 59.96
_cell_angle_gamma 90.00
_space_group_name_H-M_alt 'P 1'
_space_group_IT_number 1
_space_group_name_Hall 'P 1'
loop_
_atom_site_label
_atom_site_fract_x
_atom_site_fract_y
_atom_site_fract_z
Y1 0.0000 0.0000 0.0000
Sc1 0.5000 0.5000 0.0000
Rb1 0.7500 0.2500 0.5000
Rb2 0.2500 0.7500 0.5000
F1 0.2533 0.2533 0.4933
F2 0.7467 0.7467 0.5067
F3 0.2526 0.2526 0.0000
F4 0.7474 0.7474 0.0000
F5 0.7474 0.2526 0.0000
F6 0.2526 0.7474 0.0000
```

calculated volume: 18.3 Å³/atom
ΔE_f (raw): -3050 meV per atom



9.
Here is a relaxed Pm6Pr3Ho2Tm crystal from the Alexandria database. Energies are from PBE.

CIF file:
```
data_Pm6Pr3Ho2Tm
_chemical_formula_sum 'Pm6 Pr3 Ho2 Tm1'
_cell_length_a 6.3007
_cell_length_b 6.3007
_cell_length_c 12.0135
_cell_angle_alpha 95.02
_cell_angle_beta 95.02
_cell_angle_gamma 120.01
_space_group_name_H-M_alt 'P 1'
_space_group_IT_number 1
_space_group_name_Hall 'P 1'
loop_
_atom_site_label
_atom_site_fract_x
_atom_site_fract_y
_atom_site_fract_z
Pm1 0.9182 0.5852 0.7558
Pm2 0.7488 0.7488 0.2443
Pm3 0.0818 0.4148 0.2442
Pm4 0.5852 0.9182 0.7558
Pm5 0.2512 0.2512 0.7557
Pm6 0.4148 0.0818 0.2442
Pr1 0.1666 0.8334 0.5000
Pr2 0.8334 0.1666 0.5000
Pr3 0.5000 0.5000 0.5000
Ho1 0.3333 0.6667 0.0000
Ho2 0.6667 0.3333 0.0000
Tm1 0.0000 0.0000 0.0000
```

calculated volume: 33.9 Å³/atom
ΔH_f (0 K): 0.019 eV per atom



10.
Here is a relaxed TcRu4W crystal from the Alexandria database. Energies are from PBE.

CIF file:
```
data_TcRu4W
_chemical_formula_sum 'Tc1 Ru4 W1'
_cell_length_a 2.7616
_cell_length_b 4.3695
_cell_length_c 7.2740
_cell_angle_alpha 90.00
_cell_angle_beta 100.89
_cell_angle_gamma 90.00
_space_group_name_H-M_alt 'P 1'
_space_group_IT_number 1
_space_group_name_Hall 'P 1'
loop_
_atom_site_label
_atom_site_fract_x
_atom_site_fract_y
_atom_site_fract_z
Tc1 0.3939 0.5027 0.0303
Ru1 0.2810 0.0027 0.8091
Ru2 0.9438 0.0027 0.1340
Ru3 0.0602 0.5027 0.3645
Ru4 0.7276 0.5027 0.6987
W1 0.6125 0.0027 0.4745
```

calculated volume: 14.4 Å³/atom
ΔH_f (0 K): -0.028 eV per atom



11.
Here is a relaxed Sm3Tm6Sc crystal from the Alexandria database. Energies are from PBE.

CIF file:
```
data_Sm3Tm6Sc
_chemical_formula_sum 'Sm6 Tm12 Sc2'
_cell_length_a 6.1417
_cell_length_b 10.8172
_cell_length_c 10.8172
_cell_angle_alpha 119.75
_cell_angle_beta 90.00
_cell_angle_gamma 90.00
_space_group_name_H-M_alt 'P 1'
_space_group_IT_number 1
_space_group_name_Hall 'P 1'
loop_
_atom_site_label
_atom_site_fract_x
_atom_site_fract_y
_atom_site_fract_z
Sm1 0.4565 0.9438 0.7207
Sm2 0.9565 0.7207 0.9438
Sm3 0.0652 0.3894 0.6106
Sm4 0.5652 0.6106 0.3894
Sm5 0.9565 0.0562 0.2793
Sm6 0.4565 0.2793 0.0562
Tm1 0.0389 0.7114 0.6171
Tm2 0.5389 0.6171 0.7114
Tm3 0.3690 0.5414 0.9624
Tm4 0.8690 0.9624 0.5414
Tm5 0.4215 0.9510 0.0490
Tm6 0.6317 0.2806 0.7194
Tm7 0.1317 0.7194 0.2806
Tm8 0.9215 0.0490 0.9510
Tm9 0.3690 0.0376 0.4586
Tm10 0.8690 0.4586 0.0376
Tm11 0.0389 0.3829 0.2886
Tm12 0.5389 0.2886 0.3829
Sc1 0.1380 0.2076 0.7924
Sc2 0.6380 0.7924 0.2076
```

calculated volume: 31.2 Å³/atom
ΔH_f (0 K): 0.149 eV per atom



12.
Here is a relaxed K2NiAs crystal from the Alexandria database. Energies are from PBE.

CIF file:
```
data_K2NiAs
_chemical_formula_sum 'K2 Ni1 As1'
_cell_length_a 4.0839
_cell_length_b 4.0839
_cell_length_c 9.6589
_cell_angle_alpha 78.44
_cell_angle_beta 78.44
_cell_angle_gamma 59.99
_space_group_name_H-M_alt 'P 1'
_space_group_IT_number 1
_space_group_name_Hall 'P 1'
loop_
_atom_site_label
_atom_site_fract_x
_atom_site_fract_y
_atom_site_fract_z
As1 0.2083 0.2083 0.3750
K1 0.9561 0.9561 0.1177
K2 0.7939 0.7939 0.6324
Ni1 0.5416 0.5416 0.3750
```

calculated volume: 33.9 Å³/atom
ΔH_f (0 K): -0.197 eV per atom



13.
Here is a relaxed In2AgHg crystal from the Alexandria database. Energies are from PBE.

CIF file:
```
data_In2AgHg
_chemical_formula_sum 'In2 Ag1 Hg1'
_cell_length_a 3.3329
_cell_length_b 3.3329
_cell_length_c 10.5341
_cell_angle_alpha 80.90
_cell_angle_beta 80.90
_cell_angle_gamma 60.00
_space_group_name_H-M_alt 'P 1'
_space_group_IT_number 1
_space_group_name_Hall 'P 1'
loop_
_atom_site_label
_atom_site_fract_x
_atom_site_fract_y
_atom_site_fract_z
In1 0.0935 0.0935 0.7195
In2 0.9065 0.9065 0.2805
Ag1 0.5000 0.5000 0.5000
Hg1 0.0000 0.0000 0.0000
```

calculated volume: 24.9 Å³/atom
ΔH_f (0 K): 0.036 eV per atom



no.,DFT total energy (eV per atom)
1,-4.826
2,-3.164
3,-7.542
4,-9.107
5,-3.922
6,-6.063
7,-6.466
8,-5.646
9,-4.687
10,-10.098
11,-4.583
12,-3.353
13,-2.122